This record from the Alexandria database describes a relaxed structure of P2IrSe. The functional is PBE.

Cell: 4.5241 4.5239 5.3796 Å, 108.43 108.53 102.65°
Sites, in units of the cell vectors:
Ir: 0.2735 0.8072 0.8524
P: 0.4082 0.3555 0.9083
P: 0.7253 0.6727 0.7967
Se: 0.7294 0.3503 0.3525

Properties
* energy relative to the elements, uncorrected: 19 meV per atom
* magnetization: 0.00 Bohr magnetons per cell